Record 1
First-principles (PBE-GGA) data for a geometry-optimized PrBC2 structure, as listed in Alexandria via LeMat-Bulk.

calculated formation energy: 0.037 eV/atom
density of states at the Fermi level: 0.24 states/eV/atom
calculated total energy: -59.515 eV/cell
energy above the most stable polymorph in this dataset: 0.000 eV/atom
spin magnetization: 0.000 μB/atom

```
data_PrBC2
_chemical_formula_sum 'Pr2 B2 C4'
_cell_length_a 7.413
_cell_length_b 3.764
_cell_length_c 4.202
_cell_angle_alpha 90.00
_cell_angle_beta 90.00
_cell_angle_gamma 90.00
_space_group_name_H-M_alt 'P m m a'
_space_group_IT_number 51
loop_
_space_group_symop_operation_xyz
'x,y,z'
'-x,-y,-z'
'-x+1/2,-y,z'
'x+1/2,y,-z'
'x+1/2,-y,-z'
'-x+1/2,y,z'
'-x,y,-z'
'x,-y,z'
loop_
_atom_site_label
_atom_site_fract_x
_atom_site_fract_y
_atom_site_fract_z
_atom_site_occupancy
Pr1 0.250 0.000 0.244 1
B1 0.250 0.500 0.743 1
C1 0.073 0.500 0.911 1
```

***

Record 2
First-principles (PBE-GGA) data for a geometry-optimized InBi2Rh2 structure, as listed in Alexandria via LeMat-Bulk.

calculated formation energy: 0.155 eV/atom
density of states at the Fermi level: 0.73 states/eV/atom
calculated total energy: -48.860 eV/cell
energy above the most stable polymorph in this dataset: 0.225 eV/atom
spin magnetization: 0.000 μB/atom

```
data_InBi2Rh2
_chemical_formula_sum 'In2 Bi4 Rh4'
_cell_length_a 4.789
_cell_length_b 4.789
_cell_length_c 10.758
_cell_angle_alpha 90.00
_cell_angle_beta 90.00
_cell_angle_gamma 90.00
_space_group_name_H-M_alt 'I 4/m m m'
_space_group_IT_number 139
_space_group_name_Hall '-I 4 2'
loop_
_atom_site_label
_atom_site_fract_x
_atom_site_fract_y
_atom_site_fract_z
_atom_site_occupancy
In1 0.000 0.000 0.000 1
Bi1 0.000 0.500 0.250 1
Rh1 0.000 0.000 0.382 1
```

***

Record 3
First-principles (PBE-GGA) data for a geometry-optimized Ba3PO structure, as listed in Alexandria via LeMat-Bulk.

formation energy without anion corrections: -1.27 eV per atom
density of states at the Fermi level: 0.31 states/eV/atom
calculated total energy: -89.972 eV/cell
energy above the most stable polymorph in this dataset: 0.032 eV/atom
spin magnetization: 0.000 μB/atom

```
data_Ba3PO
_chemical_formula_sum 'Ba12 P4 O4'
_cell_length_a 24.281
_cell_length_b 4.267
_cell_length_c 7.710
_cell_angle_alpha 90.00
_cell_angle_beta 94.62
_cell_angle_gamma 90.00
_space_group_name_H-M_alt 'C 1 2/m 1'
_space_group_IT_number 12
loop_
_space_group_symop_operation_xyz
'x,y,z'
'-x,-y,-z'
'-x,y,-z'
'x,-y,z'
'x+1/2,y+1/2,z'
'-x+1/2,-y+1/2,-z'
'-x+1/2,y+1/2,-z'
'x+1/2,-y+1/2,z'
loop_
_atom_site_label
_atom_site_fract_x
_atom_site_fract_y
_atom_site_fract_z
_atom_site_occupancy
Ba1 0.034 0.000 0.246 1
Ba2 0.150 0.000 0.556 1
Ba3 0.162 0.500 0.082 1
P1 0.089 0.000 0.893 1
O1 0.105 0.500 0.358 1
```

***

Record 4
First-principles (PBE-GGA) data for a geometry-optimized BeNiPd2Ru structure, as listed in Alexandria via LeMat-Bulk.

calculated formation energy: 0.457 eV/atom
density of states at the Fermi level: 1.37 states/eV/atom
calculated total energy: -26.884 eV/cell
spin magnetization: 0.513 μB/atom

```
data_BeNiPd2Ru
_chemical_formula_sum 'Be1 Ni1 Pd2 Ru1'
_cell_length_a 4.131
_cell_length_b 4.131
_cell_length_c 4.184
_cell_angle_alpha 90.00
_cell_angle_beta 90.00
_cell_angle_gamma 90.00
_space_group_name_H-M_alt 'P 4/m m m'
_space_group_IT_number 123
_space_group_name_Hall '-P 4 2'
loop_
_atom_site_label
_atom_site_fract_x
_atom_site_fract_y
_atom_site_fract_z
_atom_site_occupancy
Be1 0.000 0.000 0.000 1
Ni1 0.500 0.500 0.500 1
Pd1 0.000 0.500 0.000 1
Ru1 0.000 0.000 0.500 1
```

***

Record 5
First-principles (PBE-GGA) data for a geometry-optimized Al2ReAuSe structure, as listed in Alexandria via LeMat-Bulk.

formation energy without anion corrections: 0.86 eV per atom
density of states at the Fermi level: 1.18 states/eV/atom
calculated total energy: -22.382 eV/cell
spin magnetization: 0.000 μB/atom

```
data_Al2ReAuSe
_chemical_formula_sum 'Al2 Re1 Au1 Se1'
_cell_length_a 4.893
_cell_length_b 4.893
_cell_length_c 4.959
_cell_angle_alpha 90.00
_cell_angle_beta 90.00
_cell_angle_gamma 90.00
_space_group_name_H-M_alt 'P 4/m m m'
_space_group_IT_number 123
_space_group_name_Hall '-P 4 2'
loop_
_atom_site_label
_atom_site_fract_x
_atom_site_fract_y
_atom_site_fract_z
_atom_site_occupancy
Al1 0.000 0.500 0.000 1
Re1 0.000 0.000 0.000 1
Au1 0.000 0.000 0.500 1
Se1 0.500 0.500 0.500 1
```

***

Record 6
First-principles (PBE-GGA) data for a geometry-optimized K2TaAg structure, as listed in Alexandria via LeMat-Bulk.

calculated formation energy: 0.896 eV/atom
density of states at the Fermi level: 0.99 states/eV/atom
calculated total energy: -26.627 eV/cell
energy above the most stable polymorph in this dataset: 0.098 eV/atom
spin magnetization: 0.000 μB/atom

```
data_K2TaAg
_chemical_formula_sum 'K4 Ta2 Ag2'
_cell_length_a 9.559
_cell_length_b 2.910
_cell_length_c 9.870
_cell_angle_alpha 90.00
_cell_angle_beta 91.96
_cell_angle_gamma 90.00
_space_group_name_H-M_alt 'C 1 m 1'
_space_group_IT_number 8
loop_
_space_group_symop_operation_xyz
'x,y,z'
'x,-y,z'
'x+1/2,y+1/2,z'
'x+1/2,-y+1/2,z'
loop_
_atom_site_label
_atom_site_fract_x
_atom_site_fract_y
_atom_site_fract_z
_atom_site_occupancy
K1 0.000 0.000 0.000 1
K2 0.234 0.000 0.598 1
Ta1 0.477 0.000 0.339 1
Ag1 0.239 0.500 0.248 1
```

***

Record 7
First-principles (PBE-GGA) data for a geometry-optimized Ta2Mo5W4 structure, as listed in Alexandria via LeMat-Bulk.

calculated formation energy: 0.399 eV/atom
density of states at the Fermi level: 0.75 states/eV/atom
calculated total energy: -250.571 eV/cell
spin magnetization: 0.000 μB/atom

```
data_Ta2Mo5W4
_chemical_formula_sum 'Ta4 Mo10 W8'
_cell_length_a 20.171
_cell_length_b 2.639
_cell_length_c 6.979
_cell_angle_alpha 90.00
_cell_angle_beta 91.29
_cell_angle_gamma 90.00
_space_group_name_H-M_alt 'C 1 2/m 1'
_space_group_IT_number 12
loop_
_space_group_symop_operation_xyz
'x,y,z'
'-x,-y,-z'
'-x,y,-z'
'x,-y,z'
'x+1/2,y+1/2,z'
'-x+1/2,-y+1/2,-z'
'-x+1/2,y+1/2,-z'
'x+1/2,-y+1/2,z'
loop_
_atom_site_label
_atom_site_fract_x
_atom_site_fract_y
_atom_site_fract_z
_atom_site_occupancy
Ta1 0.091 0.000 0.220 1
Mo1 0.000 0.000 0.500 1
Mo2 0.136 0.500 0.584 1
Mo3 0.183 0.500 0.961 1
W1 0.043 0.500 0.860 1
W2 0.228 0.000 0.322 1
```

***

Record 8
First-principles (PBE-GGA) data for a geometry-optimized Y3Ho structure, as listed in Alexandria via LeMat-Bulk.

calculated formation energy: 0.004 eV/atom
density of states at the Fermi level: 2.12 states/eV/atom
calculated total energy: -47.909 eV/cell
energy above the most stable polymorph in this dataset: 0.004 eV/atom
spin magnetization: 0.013 μB/atom

```
data_Y3Ho
_chemical_formula_sum 'Y6 Ho2'
_cell_length_a 7.2691
_cell_length_b 7.2691
_cell_length_c 5.6569
_cell_angle_alpha 90.00
_cell_angle_beta 90.00
_cell_angle_gamma 120.00
_space_group_name_H-M_alt 'P 63/m m c'
_space_group_IT_number 194
_space_group_name_Hall '-P 6c 2c'
loop_
_atom_site_label
_atom_site_fract_x
_atom_site_fract_y
_atom_site_fract_z
_atom_site_occupancy
Y1 0.1673 0.3346 0.2500 1
Ho1 0.3333 0.6667 0.7500 1
```

***

Record 9
First-principles (PBE-GGA) data for a geometry-optimized TaCoPt2 structure, as listed in Alexandria via LeMat-Bulk.

calculated formation energy: -0.454 eV/atom
density of states at the Fermi level: 1.01 states/eV/atom
calculated total energy: -32.857 eV/cell
energy above the most stable polymorph in this dataset: 0.141 eV/atom
spin magnetization: 0.392 μB/atom

```
data_TaCoPt2
_chemical_formula_sum 'Ta1 Co1 Pt2'
_cell_length_a 2.787
_cell_length_b 3.918
_cell_length_c 5.485
_cell_angle_alpha 90.00
_cell_angle_beta 90.00
_cell_angle_gamma 90.00
_space_group_name_H-M_alt 'P m m m'
_space_group_IT_number 47
loop_
_space_group_symop_operation_xyz
'x,y,z'
'-x,-y,-z'
'-x,-y,z'
'x,y,-z'
'x,-y,-z'
'-x,y,z'
'-x,y,-z'
'x,-y,z'
loop_
_atom_site_label
_atom_site_fract_x
_atom_site_fract_y
_atom_site_fract_z
_atom_site_occupancy
Ta1 0.000 0.000 0.000 1
Co1 0.000 0.000 0.500 1
Pt1 0.500 0.500 0.259 1
```

***

Record 10
First-principles (PBE-GGA) data for a geometry-optimized Tm2ThTl2 structure, as listed in Alexandria via LeMat-Bulk.

calculated formation energy: -0.008 eV/atom
density of states at the Fermi level: 1.30 states/eV/atom
calculated total energy: -21.133 eV/cell
spin magnetization: 0.000 μB/atom

```
data_Tm2ThTl2
_chemical_formula_sum 'Tm2 Th1 Tl2'
_cell_length_a 5.2396
_cell_length_b 5.2396
_cell_length_c 6.5925
_cell_angle_alpha 90.00
_cell_angle_beta 90.00
_cell_angle_gamma 120.00
_space_group_name_H-M_alt 'P -3 m 1'
_space_group_IT_number 164
_space_group_name_Hall '-P 3 2"'
loop_
_atom_site_label
_atom_site_fract_x
_atom_site_fract_y
_atom_site_fract_z
_atom_site_occupancy
Tm1 0.3333 0.6667 0.1692 1
Th1 0.0000 0.0000 0.5000 1
Tl1 0.3333 0.6667 0.7033 1
```

***

What is the formula in the ninth record?
TaCoPt2

***

The highest calculated total energy belongs to which entry?
Tm2ThTl2